No. 1
Density functional theory data (GGA-PBE) for SrSiPdBr2 after structural relaxation.

Properties
- Crystal system: tetragonal

abc: 5.1383 5.1383 5.7864
angles: 90.00 90.00 90.00
Closest atoms and distances in Å follow each position.
Fractional coordinates of all 5 atoms:
Sr 0.0000 0.0000 0.0000  2 Pd 2.89
Si 0.5000 0.5000 0.0000  4 Sr 3.63, 8 Br 3.87
Pd 0.0000 0.0000 0.5000  4 Br 2.57
Br 0.0000 0.5000 0.5000  2 Pd 2.57
Br 0.5000 0.0000 0.5000  2 Pd 2.57


No. 2
Density functional theory data (GGA-PBE) for TiSiPd2Br after structural relaxation.

Properties
- Crystal system: tetragonal

abc: 4.8361 4.8361 4.7436
angles: 90.00 90.00 90.00
Closest atoms and distances in Å follow each position.
Fractional coordinates of all 5 atoms:
Ti 0.0000 0.0000 0.0000  2 Br 2.37, 4 Pd 2.42
Si 0.5000 0.5000 0.5000  8 Pd 3.39, 4 Br 3.42
Pd 0.0000 0.5000 0.0000  2 Ti 2.42
Pd 0.5000 0.0000 0.0000  2 Ti 2.42
Br 0.0000 0.0000 0.5000  2 Ti 2.37


No. 3
Density functional theory data (GGA-PBE) for Sm2PdBr after structural relaxation.

Properties
- Crystal system: trigonal
- E above lowest polymorph: 1.8 kJ/mol of atoms

abc: 4.1396 4.1396 23.4464
angles: 90.00 90.00 120.00
Closest atoms and distances in Å follow each position.
Fractional coordinates of all 12 atoms:
Sm 0.0000 0.0000 0.0000  3 Pd 2.85
Sm 0.0000 0.0000 0.2013  3 Pd 2.85
Sm 0.3333 0.6667 0.6667  3 Pd 2.85
Sm 0.3333 0.6667 0.8680  3 Pd 2.85
Sm 0.6667 0.3333 0.3333  3 Pd 2.85
Sm 0.6667 0.3333 0.5346  3 Pd 2.85
Pd 0.0000 0.0000 0.6005  6 Sm 2.85
Pd 0.3333 0.6667 0.2671  6 Sm 2.85
Pd 0.6667 0.3333 0.9338  6 Sm 2.85
Br 0.0000 0.0000 0.7695  6 Sm 3.32-3.40
Br 0.3333 0.6667 0.4362  6 Sm 3.32-3.40
Br 0.6667 0.3333 0.1029  6 Sm 3.32-3.40


No. 4
Density functional theory data (GGA-PBE) for Sm4PdBr5 after structural relaxation.

Properties
- Crystal system: monoclinic

abc: 9.6584 9.6584 8.7455
angles: 103.03 103.03 24.27
Closest atoms and distances in Å follow each position.
Fractional coordinates of all 10 atoms:
Sm 0.0018 0.0018 0.2220  2 Pd 2.80, 1 Br 3.07
Sm 0.3461 0.3461 0.9162  1 Pd 2.83, 5 Br 2.97-3.16
Sm 0.6539 0.6539 0.0838  1 Pd 2.83, 5 Br 2.97-3.16
Sm 0.9982 0.9982 0.7780  2 Pd 2.80, 1 Br 3.07
Pd 0.5000 0.5000 0.0000  6 Sm 2.80-2.83
Br 0.1683 0.1683 0.3375  3 Sm 2.97-3.07
Br 0.1744 0.1744 0.8392  4 Sm 3.04-3.25
Br 0.5000 0.5000 0.5000  4 Sm 3.17
Br 0.8256 0.8256 0.1608  4 Sm 3.04-3.25
Br 0.8317 0.8317 0.6625  3 Sm 2.97-3.07


No. 5
Density functional theory data (GGA-PBE) for Sm3PdBr3 after structural relaxation.

Properties
- Crystal system: cubic

abc: 10.3823 10.3823 10.3823
angles: 109.47 109.47 109.47
Closest atoms and distances in Å follow each position.
Fractional coordinates of all 28 atoms:
Sm 0.0139 0.0278 0.2639  2 Pd 2.84, 4 Br 3.08-3.17
Sm 0.0139 0.4861 0.7500  2 Pd 2.84, 4 Br 3.08-3.17
Sm 0.0278 0.2639 0.0139  2 Pd 2.84, 4 Br 3.08-3.17
Sm 0.2361 0.2639 0.7500  2 Pd 2.84, 4 Br 3.08-3.17
Sm 0.2361 0.4722 0.4861  2 Pd 2.84, 4 Br 3.08-3.17
Sm 0.2639 0.0139 0.0278  2 Pd 2.84, 4 Br 3.08-3.17
Sm 0.2639 0.7500 0.2361  2 Pd 2.84, 4 Br 3.08-3.17
Sm 0.4722 0.4861 0.2361  2 Pd 2.84, 4 Br 3.08-3.17
Sm 0.4861 0.2361 0.4722  2 Pd 2.84, 4 Br 3.08-3.17
Sm 0.4861 0.7500 0.0139  2 Pd 2.84, 4 Br 3.08-3.17
Sm 0.7500 0.0139 0.4861  2 Pd 2.84, 4 Br 3.08-3.17
Sm 0.7500 0.2361 0.2639  2 Pd 2.84, 4 Br 3.08-3.17
Pd 0.0000 0.2500 0.5000  6 Sm 2.84
Pd 0.2500 0.2500 0.2500  6 Sm 2.84
Pd 0.2500 0.5000 0.0000  6 Sm 2.84
Pd 0.5000 0.0000 0.2500  6 Sm 2.84
Br 0.2500 0.7556 0.7444  4 Sm 3.08-3.17
Br 0.2500 0.9944 0.5056  4 Sm 3.08-3.17
Br 0.5056 0.2500 0.9944  4 Sm 3.08-3.17
Br 0.5056 0.7556 0.5112  4 Sm 3.08-3.17
Br 0.5112 0.5056 0.7556  4 Sm 3.08-3.17
Br 0.7444 0.2500 0.7556  4 Sm 3.08-3.17
Br 0.7444 0.9944 0.9888  4 Sm 3.08-3.17
Br 0.7556 0.5112 0.5056  4 Sm 3.08-3.17
Br 0.7556 0.7444 0.2500  4 Sm 3.08-3.17
Br 0.9888 0.7444 0.9944  4 Sm 3.08-3.17
Br 0.9944 0.5056 0.2500  4 Sm 3.08-3.17
Br 0.9944 0.9888 0.7444  4 Sm 3.08-3.17


No. 6
Density functional theory data (GGA-PBE) for Sm2PdBr after structural relaxation.

Properties
- Crystal system: trigonal
- E above lowest polymorph: 0.0 kJ/mol of atoms

abc: 4.1661 4.1661 23.0295
angles: 90.00 90.00 120.00
Closest atoms and distances in Å follow each position.
Fractional coordinates of all 12 atoms:
Sm 0.0000 0.0000 0.2334  3 Pd 2.85
Sm 0.0000 0.0000 0.7666  3 Pd 2.85
Sm 0.3333 0.6667 0.4333  3 Pd 2.85
Sm 0.3333 0.6667 0.9000  3 Pd 2.85
Sm 0.6667 0.3333 0.1000  3 Pd 2.85
Sm 0.6667 0.3333 0.5667  3 Pd 2.85
Pd 0.0000 0.0000 0.5000  6 Sm 2.85
Pd 0.3333 0.6667 0.1667  6 Sm 2.85
Pd 0.6667 0.3333 0.8333  6 Sm 2.85
Br 0.0000 0.0000 0.0000  6 Sm 3.33
Br 0.3333 0.6667 0.6667  6 Sm 3.33
Br 0.6667 0.3333 0.3333  6 Sm 3.33


No. 7
Density functional theory data (GGA-PBE) for SnPdBr after structural relaxation.

Properties
- Crystal system: monoclinic

abc: 9.3573 5.2393 7.2764
angles: 90.00 111.91 90.00
Closest atoms and distances in Å follow each position.
Fractional coordinates of all 12 atoms:
Sn 0.1511 0.1907 0.0728  3 Pd 2.69-3.01, 1 Br 2.77
Sn 0.1511 0.3093 0.5728  3 Pd 2.69-3.01, 1 Br 2.77
Sn 0.8489 0.6907 0.4272  3 Pd 2.69-3.01, 1 Br 2.77
Sn 0.8489 0.8093 0.9272  3 Pd 2.69-3.01, 1 Br 2.77
Pd 0.0748 0.7500 0.2856  3 Sn 2.69-3.01, 2 Br 2.92, 2 Pd 2.92
Pd 0.0748 0.7500 0.7856  3 Sn 2.69-3.01, 2 Br 2.92, 2 Pd 2.92
Pd 0.9252 0.2500 0.2144  3 Sn 2.69-3.01, 2 Br 2.92, 2 Pd 2.92
Pd 0.9252 0.2500 0.7144  3 Sn 2.69-3.01, 2 Br 2.92, 2 Pd 2.92
Br 0.3280 0.6307 0.1573  1 Sn 2.77, 2 Pd 2.92
Br 0.3280 0.8693 0.6573  1 Sn 2.77, 2 Pd 2.92
Br 0.6720 0.1307 0.3427  1 Sn 2.77, 2 Pd 2.92
Br 0.6720 0.3693 0.8427  1 Sn 2.77, 2 Pd 2.92


No. 8
Density functional theory data (GGA-PBE) for Sn2PdBr2 after structural relaxation.

Properties
- Crystal system: tetragonal

abc: 7.4688 7.4688 5.2765
angles: 90.00 90.00 90.00
Closest atoms and distances in Å follow each position.
Fractional coordinates of all 10 atoms:
Sn 0.2263 0.2737 0.0000  2 Pd 2.65, 2 Br 2.86
Sn 0.2737 0.7737 0.0000  2 Pd 2.65, 2 Br 2.86
Sn 0.7263 0.2263 0.0000  2 Pd 2.65, 2 Br 2.86
Sn 0.7737 0.7263 0.0000  2 Pd 2.65, 2 Br 2.86
Pd 0.0000 0.0000 0.0000  4 Sn 2.65
Pd 0.5000 0.5000 0.0000  4 Sn 2.65
Br 0.1680 0.6680 0.5000  2 Sn 2.86
Br 0.3320 0.1680 0.5000  2 Sn 2.86
Br 0.6680 0.8320 0.5000  2 Sn 2.86
Br 0.8320 0.3320 0.5000  2 Sn 2.86


Number 1: E -3.156 eV/atom, total magnetization 1.539 μB per formula unit. Number 2: E -4.469 eV/atom, total magnetization 0.347 μB per formula unit. Number 3: E -5.050 eV/atom, total magnetization 0.000 μB per formula unit. Number 4: E -4.653 eV/atom, total magnetization 0.001 μB per formula unit. Number 5: E -4.795 eV/atom, total magnetization 0.000 μB per formula unit. Number 6: E -5.068 eV/atom, total magnetization 0.000 μB per formula unit. Number 7: E -3.961 eV/atom, total magnetization 0.000 μB per formula unit. Number 8: E -3.608 eV/atom, total magnetization 0.000 μB per formula unit.